# 1
The following is a DFT calculation (PBE-GGA) of a geometry-optimized MgCo2Os structure.

Cell lengths 2.678, 3.552, 5.510 Å; angles 90.00, 90.09, 90.00 degrees
Element x y z (fractional)
Mg (0.000, 0.000, 0.000)
Co (0.500, 0.500, 0.278)
Co (0.500, 0.500, 0.722)
Os (0.000, 0.000, 0.500)

Crystal system: monoclinic
V in Å³ per atom: 13.1
Electronic total energy in eV/atom: -6.59
Spin magnetization in μB per cell: 0.0

# 2
The following is a DFT calculation (PBE-GGA) of a geometry-optimized MgCo2Os structure.

Cell lengths 2.655, 3.672, 5.435 Å; angles 90.00, 90.00, 90.00 degrees
Element x y z (fractional)
Mg (0.000, 0.000, 0.000)
Co (0.000, 0.000, 0.506)
Co (0.500, 0.500, 0.752)
Os (0.500, 0.500, 0.308)

Crystal system: orthorhombic
V in Å³ per atom: 13.2
Electronic total energy in eV/atom: -6.49
Spin magnetization in μB per cell: 1.3

# 3
The following is a DFT calculation (PBE-GGA) of a geometry-optimized MgCoOs2 structure.

Cell lengths 8.899, 8.899, 8.899 Å; angles 17.64, 17.64, 17.64 degrees
Element x y z (fractional)
Mg (0.000, 0.000, 0.000)
Co (0.500, 0.500, 0.500)
Os (0.244, 0.244, 0.244)
Os (0.756, 0.756, 0.756)

Crystal system: trigonal
V in Å³ per atom: 14.1
Electronic total energy in eV/atom: -7.55
Spin magnetization in μB per cell: 1.6

# 4
The following is a DFT calculation (PBE-GGA) of a geometry-optimized MgCo2Os structure.

Cell lengths 8.664, 8.664, 8.664 Å; angles 17.90, 17.90, 17.90 degrees
Element x y z (fractional)
Mg (0.000, 0.000, 0.000)
Co (0.246, 0.246, 0.246)
Co (0.754, 0.754, 0.754)
Os (0.500, 0.500, 0.500)

Crystal system: trigonal
V in Å³ per atom: 13.4
Electronic total energy in eV/atom: -6.51
Spin magnetization in μB per cell: 2.6

# 5
The following is a DFT calculation (PBE-GGA) of a geometry-optimized MgCoOs2 structure.

Cell lengths 4.776, 4.776, 4.776 Å; angles 134.12, 134.12, 66.90 degrees
Element x y z (fractional)
Mg (0.000, 0.000, 0.000)
Co (0.500, 0.500, 0.000)
Os (0.250, 0.750, 0.500)
Os (0.750, 0.250, 0.500)

Crystal system: tetragonal
V in Å³ per atom: 13.8
Electronic total energy in eV/atom: -7.45
Spin magnetization in μB per cell: 0.0

# 6
The following is a DFT calculation (PBE-GGA) of a geometry-optimized MgCo2OsRu structure.

Cell lengths 4.159, 4.159, 4.398 Å; angles 90.00, 90.00, 90.00 degrees
Element x y z (fractional)
Mg (0.000, 0.000, 0.000)
Co (0.000, 0.500, 0.000)
Co (0.500, 0.000, 0.000)
Os (0.500, 0.500, 0.500)
Ru (0.000, 0.000, 0.500)

Crystal system: tetragonal
V in Å³ per atom: 15.2
Electronic total energy in eV/atom: -5.41
Spin magnetization in μB per cell: 5.0

# 7
The following is a DFT calculation (PBE-GGA) of a geometry-optimized MgCo2OsSe structure.

Cell lengths 4.280, 4.280, 4.767 Å; angles 90.00, 90.00, 90.00 degrees
Element x y z (fractional)
Mg (0.000, 0.000, 0.000)
Co (0.000, 0.500, 0.500)
Co (0.500, 0.000, 0.500)
Os (0.500, 0.500, 0.000)
Se (0.000, 0.000, 0.500)

Crystal system: tetragonal
V in Å³ per atom: 17.5
Formation energy without anion corrections in eV/f.u.: 5.51
Spin magnetization in μB per cell: 4.7

# 8
The following is a DFT calculation (PBE-GGA) of a geometry-optimized MgTaCoOs structure.

Cell lengths 4.370, 4.370, 4.370 Å; angles 60.00, 60.00, 60.00 degrees
Element x y z (fractional)
Mg (0.000, 0.000, 0.000)
Ta (0.500, 0.500, 0.500)
Co (0.750, 0.750, 0.750)
Os (0.250, 0.250, 0.250)

Crystal system: cubic
V in Å³ per atom: 14.7
Electronic total energy in eV/atom: -8.14
Spin magnetization in μB per cell: 0.0

# 9
The following is a DFT calculation (PBE-GGA) of a geometry-optimized ThMgCoOs structure.

Cell lengths 4.702, 4.702, 4.702 Å; angles 60.00, 60.00, 60.00 degrees
Element x y z (fractional)
Th (0.000, 0.000, 0.000)
Mg (0.500, 0.500, 0.500)
Co (0.750, 0.750, 0.750)
Os (0.250, 0.250, 0.250)

Crystal system: cubic
V in Å³ per atom: 18.4
Electronic total energy in eV/atom: -6.84
Spin magnetization in μB per cell: 0.4

# 10
The following is a DFT calculation (PBE-GGA) of a geometry-optimized MgTiCoOs structure.

Cell lengths 4.308, 4.308, 4.308 Å; angles 60.00, 60.00, 60.00 degrees
Element x y z (fractional)
Mg (0.000, 0.000, 0.000)
Ti (0.500, 0.500, 0.500)
Co (0.250, 0.250, 0.250)
Os (0.750, 0.750, 0.750)

Crystal system: cubic
V in Å³ per atom: 14.1
Electronic total energy in eV/atom: -7.12
Spin magnetization in μB per cell: 0.0

# 11
The following is a DFT calculation (PBE-GGA) of a geometry-optimized MgUCoOs structure.

Cell lengths 4.568, 4.568, 4.568 Å; angles 60.00, 60.00, 60.00 degrees
Element x y z (fractional)
Mg (0.000, 0.000, 0.000)
U (0.500, 0.500, 0.500)
Co (0.750, 0.750, 0.750)
Os (0.250, 0.250, 0.250)

Crystal system: cubic
V in Å³ per atom: 16.9
Electronic total energy in eV/atom: -7.78
Spin magnetization in μB per cell: 0.9

# 12
The following is a DFT calculation (PBE-GGA) of a geometry-optimized MgVCoOs structure.

Cell lengths 4.230, 4.230, 4.230 Å; angles 60.00, 60.00, 60.00 degrees
Element x y z (fractional)
Mg (0.000, 0.000, 0.000)
V (0.500, 0.500, 0.500)
Co (0.750, 0.750, 0.750)
Os (0.250, 0.250, 0.250)

Crystal system: cubic
V in Å³ per atom: 13.4
Electronic total energy in eV/atom: -7.32
Spin magnetization in μB per cell: 0.0

# 13
The following is a DFT calculation (PBE-GGA) of a geometry-optimized MgCoOsW2 structure.

Cell lengths 4.455, 4.455, 4.513 Å; angles 90.00, 90.00, 90.00 degrees
Element x y z (fractional)
Mg (0.000, 0.000, 0.000)
Co (0.500, 0.500, 0.500)
Os (0.500, 0.500, 0.000)
W (0.000, 0.500, 0.500)
W (0.500, 0.000, 0.500)

Crystal system: tetragonal
V in Å³ per atom: 17.9
Electronic total energy in eV/atom: -7.81
Spin magnetization in μB per cell: 0.0

# 14
The following is a DFT calculation (PBE-GGA) of a geometry-optimized MgZrCoOs structure.

Cell lengths 4.474, 4.474, 4.474 Å; angles 60.00, 60.00, 60.00 degrees
Element x y z (fractional)
Mg (0.000, 0.000, 0.000)
Zr (0.500, 0.500, 0.500)
Co (0.750, 0.750, 0.750)
Os (0.250, 0.250, 0.250)

Crystal system: cubic
V in Å³ per atom: 15.8
Electronic total energy in eV/atom: -7.23
Spin magnetization in μB per cell: 0.0

# 15
The following is a DFT calculation (PBE-GGA) of a geometry-optimized Mg3CoP structure.

Cell lengths 4.821, 4.821, 4.821 Å; angles 90.00, 90.00, 90.00 degrees
Element x y z (fractional)
Mg (0.000, 0.000, 0.500)
Mg (0.000, 0.500, 0.000)
Mg (0.500, 0.000, 0.000)
Co (0.500, 0.500, 0.500)
P (0.000, 0.000, 0.000)

Crystal system: cubic
Polymorph energy (0 for the lowest one) in meV/atom: 0.0
V in Å³ per atom: 22.4
Spin magnetization in μB per cell: 1.2

# 16
The following is a DFT calculation (PBE-GGA) of a geometry-optimized MgCo2P structure.

Cell lengths 3.011, 3.011, 5.759 Å; angles 90.00, 90.00, 90.00 degrees
Element x y z (fractional)
Mg (0.000, 0.000, 0.000)
Co (0.000, 0.000, 0.476)
Co (0.500, 0.500, 0.722)
P (0.500, 0.500, 0.329)

Crystal system: tetragonal
V in Å³ per atom: 13.1
Electronic total energy in eV/atom: -5.41
Spin magnetization in μB per cell: 1.3

# 17
The following is a DFT calculation (PBE-GGA) of a geometry-optimized Mg2CoP structure.

Cell lengths 4.016, 4.016, 3.677 Å; angles 90.00, 90.00, 90.00 degrees
Element x y z (fractional)
Mg (0.000, 0.500, 0.000)
Mg (0.500, 0.000, 0.000)
Co (0.000, 0.000, 0.500)
P (0.500, 0.500, 0.500)

Crystal system: tetragonal
V in Å³ per atom: 14.8
Electronic total energy in eV/atom: -4.02
Spin magnetization in μB per cell: 1.0

# 18
The following is a DFT calculation (PBE-GGA) of a geometry-optimized MgCo2P structure.

Cell lengths 4.008, 4.008, 4.008 Å; angles 60.00, 60.00, 60.00 degrees
Element x y z (fractional)
Mg (0.000, 0.000, 0.000)
Co (0.250, 0.250, 0.250)
Co (0.750, 0.750, 0.750)
P (0.500, 0.500, 0.500)

Crystal system: cubic
V in Å³ per atom: 11.4
Electronic total energy in eV/atom: -5.47
Spin magnetization in μB per cell: 1.1

# 19
The following is a DFT calculation (PBE-GGA) of a geometry-optimized MgCo2P structure.

Cell lengths 2.735, 2.735, 6.519 Å; angles 90.00, 90.00, 90.00 degrees
Element x y z (fractional)
Mg (0.000, 0.000, 0.000)
Co (0.500, 0.500, 0.308)
Co (0.500, 0.500, 0.692)
P (0.000, 0.000, 0.500)

Crystal system: tetragonal
V in Å³ per atom: 12.2
Electronic total energy in eV/atom: -5.56
Spin magnetization in μB per cell: 0.0

# 20
The following is a DFT calculation (PBE-GGA) of a geometry-optimized Mg5CoP2 structure.

Cell lengths 4.214, 4.214, 7.601 Å; angles 90.00, 90.00, 90.00 degrees
Element x y z (fractional)
Mg (0.000, 0.000, 0.000)
Mg (0.000, 0.500, 0.286)
Mg (0.000, 0.500, 0.714)
Mg (0.500, 0.000, 0.286)
Mg (0.500, 0.000, 0.714)
Co (0.000, 0.000, 0.500)
P (0.500, 0.500, 0.000)
P (0.500, 0.500, 0.500)

Crystal system: tetragonal
V in Å³ per atom: 16.9
Electronic total energy in eV/atom: -3.39
Spin magnetization in μB per cell: 0.0

# 21
The following is a DFT calculation (PBE-GGA) of a geometry-optimized Mg2Co5P4 structure.

Cell lengths 7.938, 7.066, 5.075 Å; angles 79.82, 61.18, 39.00 degrees
Element x y z (fractional)
Mg (0.118, 0.118, 0.882)
Mg (0.882, 0.882, 0.118)
Co (0.000, 0.000, 0.500)
Co (0.250, 0.250, 0.250)
Co (0.500, 0.500, 0.000)
Co (0.500, 0.500, 0.500)
Co (0.750, 0.750, 0.750)
P (0.211, 0.533, 0.467)
P (0.467, 0.789, 0.211)
P (0.533, 0.211, 0.789)
P (0.789, 0.467, 0.533)

Crystal system: orthorhombic
V in Å³ per atom: 13.3
Electronic total energy in eV/atom: -5.94
Spin magnetization in μB per cell: 0.0

# 22
The following is a DFT calculation (PBE-GGA) of a geometry-optimized Mg2CoP structure.

Cell lengths 3.985, 3.420, 5.185 Å; angles 90.00, 112.48, 90.00 degrees
Element x y z (fractional)
Mg (0.000, 0.000, 0.000)
Mg (0.295, 0.500, 0.591)
Co (0.582, 0.500, 0.167)
P (0.716, 0.000, 0.432)

Crystal system: monoclinic
V in Å³ per atom: 16.3
Electronic total energy in eV/atom: -4.26
Spin magnetization in μB per cell: 0.0

# 23
The following is a DFT calculation (PBE-GGA) of a geometry-optimized MgCo3P structure.

Cell lengths 4.144, 4.144, 4.144 Å; angles 90.00, 90.00, 90.00 degrees
Element x y z (fractional)
Mg (0.000, 0.000, 0.000)
Co (0.000, 0.500, 0.500)
Co (0.500, 0.000, 0.500)
Co (0.500, 0.500, 0.000)
P (0.500, 0.500, 0.500)

Crystal system: cubic
Polymorph energy (0 for the lowest one) in meV/atom: 0.0
V in Å³ per atom: 14.2
Spin magnetization in μB per cell: 2.4

# 24
The following is a DFT calculation (PBE-GGA) of a geometry-optimized MgCo3P structure.

Cell lengths 4.324, 4.324, 4.324 Å; angles 90.00, 90.00, 90.00 degrees
Element x y z (fractional)
Mg (0.000, 0.000, 0.000)
Co (0.000, 0.000, 0.500)
Co (0.000, 0.500, 0.000)
Co (0.500, 0.000, 0.000)
P (0.500, 0.500, 0.500)

Crystal system: cubic
Polymorph energy (0 for the lowest one) in meV/atom: 1606.5
V in Å³ per atom: 16.2
Spin magnetization in μB per cell: 4.7

# 25
The following is a DFT calculation (PBE-GGA) of a geometry-optimized MgCo2P structure.

Cell lengths 4.722, 4.722, 2.685 Å; angles 105.58, 105.58, 110.97 degrees
Element x y z (fractional)
Mg (0.000, 0.000, 0.000)
Co (0.000, 0.500, 0.500)
Co (0.500, 0.000, 0.500)
P (0.500, 0.500, 0.000)

Crystal system: monoclinic
V in Å³ per atom: 12.3
Electronic total energy in eV/atom: -5.21
Spin magnetization in μB per cell: 1.4

# 26
The following is a DFT calculation (PBE-GGA) of a geometry-optimized MgCoP3 structure.

Cell lengths 4.430, 4.430, 4.430 Å; angles 90.00, 90.00, 90.00 degrees
Element x y z (fractional)
Mg (0.000, 0.000, 0.000)
Co (0.500, 0.500, 0.500)
P (0.000, 0.500, 0.500)
P (0.500, 0.000, 0.500)
P (0.500, 0.500, 0.000)

Crystal system: cubic
Polymorph energy (0 for the lowest one) in meV/atom: 0.0
V in Å³ per atom: 17.4
Spin magnetization in μB per cell: 0.6

# 27
The following is a DFT calculation (PBE-GGA) of a geometry-optimized MgCo2P structure.

Cell lengths 4.610, 4.610, 4.610 Å; angles 135.34, 135.34, 65.00 degrees
Element x y z (fractional)
Mg (0.000, 0.000, 0.000)
Co (0.500, 0.500, 0.000)
Co (0.750, 0.250, 0.500)
P (0.250, 0.750, 0.500)

Crystal system: tetragonal
V in Å³ per atom: 11.9
Electronic total energy in eV/atom: -5.36
Spin magnetization in μB per cell: 1.4

# 28
The following is a DFT calculation (PBE-GGA) of a geometry-optimized Mg4CoP structure.

Cell lengths 5.450, 5.450, 5.450 Å; angles 60.00, 60.00, 60.00 degrees
Element x y z (fractional)
Mg (0.125, 0.125, 0.125)
Mg (0.125, 0.125, 0.624)
Mg (0.125, 0.624, 0.125)
Mg (0.624, 0.125, 0.125)
Co (0.500, 0.500, 0.500)
P (0.750, 0.750, 0.750)

Crystal system: cubic
V in Å³ per atom: 19.1
Electronic total energy in eV/atom: -2.63
Spin magnetization in μB per cell: 0.7

# 29
The following is a DFT calculation (PBE-GGA) of a geometry-optimized MgCo2P structure.

Cell lengths 3.999, 4.665, 4.665 Å; angles 35.94, 90.00, 90.00 degrees
Element x y z (fractional)
Mg (0.000, 0.000, 0.000)
Co (0.000, 0.736, 0.736)
Co (0.500, 0.341, 0.341)
P (0.500, 0.640, 0.640)

Crystal system: orthorhombic
V in Å³ per atom: 12.8
Electronic total energy in eV/atom: -5.45
Spin magnetization in μB per cell: 1.2